1.
Below is a geometry-optimized Be3CoIr structure, with properties calculated at the PBE level.

Cell: 3.789 3.789 3.789 Å, 90.00 90.00 90.00°
Space group Pm-3m (No. 221)
Unique sites:
Be 0.000 0.000 0.500 x3
Co 0.000 0.000 0.000 x1
Ir 0.500 0.500 0.500 x1

Properties
ΔH_f (0 K) in eV per formula unit: 2.5



2.
Below is a geometry-optimized AcLa4Nd2Er structure, with properties calculated at the PBE level.

Cell: 11.754 5.272 10.597 Å, 90.00 116.74 90.00°
Space group C2/m (No. 12)
Unique sites:
Ac 0.000 0.000 0.000 x2
La 0.247 0.000 0.869 x4
La 0.248 0.500 0.621 x4
Nd 0.002 0.500 0.744 x4
Er 0.000 0.000 0.500 x2

Properties
ΔH_f (0 K) in eV per formula unit: 0.2



3.
Below is a geometry-optimized Ni2BiBIr structure, with properties calculated at the PBE level.

Cell: 4.713 4.713 3.972 Å, 90.00 90.00 90.00°
Space group P4/mmm (No. 123)
Unique sites:
Ni 0.000 0.500 0.000 x2
Bi 0.000 0.000 0.500 x1
B 0.500 0.500 0.500 x1
Ir 0.500 0.500 0.000 x1

Properties
ΔH_f (0 K) in eV per formula unit: 3.8



4.
Below is a geometry-optimized PuTl4Cl7 structure, with properties calculated at the PBE level.

Cell: 21.709 5.343 7.609 Å, 90.00 107.69 90.00°
Space group C2/m (No. 12)
Unique sites:
Pu 0.000 0.000 0.000 x2
Tl 0.087 0.500 0.635 x4
Tl 0.199 0.500 0.246 x4
Cl 0.000 0.500 0.000 x2
Cl 0.075 0.000 0.355 x4
Cl 0.111 0.000 0.903 x4
Cl 0.222 0.500 0.661 x4

Properties
Uncorrected formation energy in eV per atom: -1.298



5.
Below is a geometry-optimized K3CaW structure, with properties calculated at the PBE level.

Cell: 7.231 7.231 7.231 Å, 90.00 90.00 90.00°
Space group Pm-3m (No. 221)
Unique sites:
K 0.000 0.000 0.500 x3
Ca 0.000 0.000 0.000 x1
W 0.500 0.500 0.500 x1

Properties
ΔH_f (0 K) in eV per formula unit: 9.3



6.
Below is a geometry-optimized Tb4NdY3 structure, with properties calculated at the PBE level.

Cell: 23.611 3.470 6.766 Å, 90.00 106.54 90.00°
Space group C2/m (No. 12)
Unique sites:
Tb 0.125 0.000 0.371 x4
Tb 0.240 0.500 0.245 x4
Nd 0.000 0.500 0.000 x2
Y 0.000 0.000 0.500 x2
Y 0.127 0.000 0.884 x4

Properties
ΔH_f (0 K) in eV per formula unit: 1.4



7.
Below is a geometry-optimized La4Sm2O structure, with properties calculated at the PBE level.

Cell: 5.085 5.085 17.632 Å, 90.00 90.00 90.00°
Space group I4/mmm (No. 139)
Unique sites:
La 0.000 0.000 0.142 x4
La 0.000 0.500 0.000 x4
Sm 0.000 0.000 0.348 x4
O 0.000 0.000 0.000 x2

Properties
Uncorrected formation energy in eV per atom: -0.637



8.
Below is a geometry-optimized Nb2IrPb structure, with properties calculated at the PBE level.

Cell: 3.989 3.989 20.102 Å, 90.00 90.00 90.00°
Space group I-42d (No. 122)
Unique sites:
Nb 0.250 0.250 0.125 x8
Ir 0.000 0.000 0.000 x4
Pb 0.000 0.000 0.500 x4

Properties
ΔH_f (0 K) in eV per formula unit: 2.2



9.
Below is a geometry-optimized TbPr3Dy structure, with properties calculated at the PBE level.

Cell: 6.246 8.906 12.639 Å, 90.00 90.00 90.00°
Space group Pnna (No. 52)
Unique sites:
Tb 0.250 0.000 0.202 x4
Pr 0.084 0.172 0.439 x8
Pr 0.162 0.250 0.750 x4
Dy 0.250 0.000 0.941 x4

Properties
ΔH_f (0 K) in eV per formula unit: 0.9



10.
Below is a geometry-optimized TlOsF2 structure, with properties calculated at the PBE level.

Cell: 2.9867 2.9867 25.9530 Å, 90.00 90.00 120.00°
Space group R-3m (No. 166, hexagonal axes)
Unique sites:
Tl 0.0000 0.0000 0.0000 x3
Os 0.0000 0.0000 0.5000 x3
F 0.0000 0.0000 0.0986 x6

Properties
Uncorrected formation energy in eV per atom: -0.145



11.
Below is a geometry-optimized RbGe2Se2 structure, with properties calculated at the PBE level.

Cell: 8.716 8.716 3.706 Å, 90.00 90.00 90.00°
Space group P4/mbm (No. 127)
Unique sites:
Rb 0.000 0.000 0.000 x2
Ge 0.101 0.399 0.000 x4
Se 0.149 0.649 0.500 x4

Properties
Uncorrected formation energy in eV per atom: -0.204



12.
Below is a geometry-optimized Ca2Ac6Er structure, with properties calculated at the PBE level.

Cell: 8.253 16.818 5.865 Å, 90.00 90.00 90.00°
Space group Cmmm (No. 65)
Unique sites:
Ca 0.000 0.224 0.000 x4
Ac 0.219 0.356 0.500 x8
Ac 0.246 0.500 0.000 x4
Er 0.000 0.000 0.500 x2

Properties
ΔH_f (0 K) in eV per formula unit: 2.6



13.
Below is a geometry-optimized LaNd2Rh structure, with properties calculated at the PBE level.

Cell: 3.621 3.621 9.031 Å, 90.00 90.00 90.00°
Space group P4/mmm (No. 123)
Unique sites:
La 0.000 0.000 0.000 x1
Nd 0.500 0.500 0.315 x2
Rh 0.000 0.000 0.500 x1

Properties
ΔH_f (0 K) in eV per formula unit: -1.2



14.
Below is a geometry-optimized La3In structure, with properties calculated at the PBE level.

Cell: 10.579 9.561 5.132 Å, 90.00 90.00 90.00°
Space group Cmcm (No. 63)
Unique sites:
La 0.000 0.166 0.250 x4
La 0.233 0.135 0.750 x8
In 0.000 0.401 0.750 x4

Properties
ΔH_f (0 K) in eV per formula unit: -0.8



15.
Below is a geometry-optimized SrCd2Au structure, with properties calculated at the PBE level.

Cell: 4.212 4.277 6.438 Å, 90.00 108.24 90.00°
Space group Pm (No. 6)
Unique sites:
Sr 0.000 0.000 0.000 x1
Cd 0.324 0.500 0.643 x1
Cd 0.728 0.000 0.463 x1
Au 0.573 0.500 0.155 x1

Properties
ΔH_f (0 K) in eV per formula unit: -1.5



16.
Below is a geometry-optimized ScTaAs2 structure, with properties calculated at the PBE level.

Cell: 4.498 3.396 9.554 Å, 90.00 90.00 90.00°
Space group Amm2 (No. 38)
Unique sites:
Sc 0.000 0.000 0.000 x2
Ta 0.500 0.000 0.250 x2
As 0.000 0.000 0.726 x2
As 0.500 0.000 0.529 x2

Properties
ΔH_f (0 K) in eV per formula unit: -2.4



17.
Below is a geometry-optimized LiAl structure, with properties calculated at the PBE level.

Cell: 4.0338 4.0338 5.5793 Å, 90.00 90.00 120.00°
Space group P6_3/mmc (No. 194)
Unique sites:
Li 0.3333 0.6667 0.2500 x2
Al 0.0000 0.0000 0.0000 x2

Properties
ΔH_f (0 K) in eV per formula unit: 0.5



18.
Below is a geometry-optimized Tb2Tm2Al structure, with properties calculated at the PBE level.

Cell: 12.345 3.671 8.594 Å, 90.00 133.13 90.00°
Space group C2/m (No. 12)
Unique sites:
Tb 0.080 0.000 0.363 x4
Tm 0.241 0.500 0.828 x4
Al 0.000 0.500 0.000 x2

Properties
ΔH_f (0 K) in eV per formula unit: -0.7



19.
Below is a geometry-optimized HgRu2 structure, with properties calculated at the PBE level.

Cell: 3.837 12.715 3.987 Å, 90.00 90.00 90.00°
Space group Cmcm (No. 63)
Unique sites:
Hg 0.000 0.082 0.250 x4
Ru 0.000 0.250 0.750 x4
Ru 0.000 0.395 0.250 x4

Properties
ΔH_f (0 K) in eV per formula unit: 1.6



20.
Below is a geometry-optimized SrAl4Sn structure, with properties calculated at the PBE level.

Cell: 8.127 8.127 8.127 Å, 90.00 90.00 90.00°
Space group F-43m (No. 216)
Unique sites:
Sr 0.000 0.000 0.000 x4
Al 0.125 0.125 0.625 x16
Sn 0.250 0.250 0.250 x4

Properties
ΔH_f (0 K) in eV per formula unit: -0.3



21.
Below is a geometry-optimized LaTlCd2Co structure, with properties calculated at the PBE level.

Cell: 5.170 5.170 4.888 Å, 90.00 90.00 90.00°
Space group P4/mmm (No. 123)
Unique sites:
La 0.000 0.000 0.000 x1
Tl 0.500 0.500 0.000 x1
Cd 0.000 0.500 0.500 x2
Co 0.000 0.000 0.500 x1

Properties
ΔH_f (0 K) in eV per formula unit: -0.5



22.
Below is a geometry-optimized Ba2CeTmSe4 structure, with properties calculated at the PBE level.

Cell: 7.516 4.324 7.801 Å, 90.00 108.57 90.00°
Space group P2/m (No. 10)
Unique sites:
Ba 0.000 0.000 0.000 x1
Ba 0.500 0.500 0.000 x1
Ce 0.000 0.500 0.500 x1
Tm 0.500 0.000 0.500 x1
Se 0.249 0.000 0.716 x2
Se 0.272 0.500 0.289 x2

Properties
Uncorrected formation energy in eV per atom: -1.846



23.
Below is a geometry-optimized TmH6Rh2 structure, with properties calculated at the PBE level.

Cell: 5.600 5.606 5.705 Å, 90.00 117.76 90.00°
Space group C2/m (No. 12)
Unique sites:
Tm 0.000 0.000 0.000 x2
H 0.153 0.263 0.827 x8
H 0.237 0.000 0.501 x4
Rh 0.000 0.253 0.500 x4



24.
Below is a geometry-optimized LaSiGe3 structure, with properties calculated at the PBE level.

Cell: 4.870 4.870 4.870 Å, 90.00 90.00 90.00°
Space group Pm-3m (No. 221)
Unique sites:
La 0.000 0.000 0.000 x1
Si 0.500 0.500 0.500 x1
Ge 0.000 0.500 0.500 x3

Properties
Uncorrected formation energy in eV per atom: 0.037



25.
Below is a geometry-optimized Pm3Pr4Hg4 structure, with properties calculated at the PBE level.

Cell: 3.761 9.383 19.424 Å, 90.00 90.00 90.00°
Space group Immm (No. 71)
Unique sites:
Pm 0.000 0.000 0.000 x2
Pm 0.000 0.500 0.099 x4
Pr 0.000 0.318 0.340 x8
Hg 0.000 0.000 0.268 x4
Hg 0.000 0.209 0.500 x4

Properties
ΔH_f (0 K) in eV per formula unit: -3.1



Looking at V for the records above, in order, we have 54.4 586.4 88.3 840.8 378.1 531.4 455.8 319.9 703.1 200.5 281.5 814.1 118.4 519.1 110.2 145.9 78.6 284.2 194.5 536.8 130.6 240.3 158.5 115.5 685.5 Å³ per cell.
Looking at VASP energy for the records above, in order, we have -24.6 -75.4 -27.2 -104.6 -9.0 -82.6 -77.1 -122.2 -90.8 -53.8 -36.4 -61.3 -23.0 -73.1 -8.2 -59.8 -10.3 -45.2 -69.0 -83.8 -16.7 -43.0 -84.6 -24.0 -75.4 eV/cell.